Compound: LiCr4Tc
Source: the Alexandria database
Functional: PBE
Structure: optimized geometry

Output
- total DFT energy (no corrections) (eV/f.u.) = -49.495
- N(E_F) (states/eV per cell) = 2.875

Cell: 4.736 4.736 4.736 Å, 60.00 60.00 60.00°
Fractional positions:
Li 0.250 0.250 0.250
Cr 0.624 0.624 0.128
Cr 0.624 0.128 0.624
Cr 0.624 0.624 0.624
Cr 0.128 0.624 0.624
Tc 0.000 0.000 0.000

---

Compound: LiCr2Tc2
Source: the Alexandria database
Functional: PBE
Structure: optimized geometry

Output
- total DFT energy (no corrections) (eV/f.u.) = -40.489
- N(E_F) (states/eV per cell) = 6.261

Cell: 7.158 7.158 2.757 Å, 90.00 90.00 90.00°
Fractional positions:
Cr 0.356 0.856 0.000
Cr 0.856 0.644 0.000
Cr 0.644 0.144 0.000
Cr 0.144 0.356 0.000
Tc 0.154 0.654 0.500
Tc 0.654 0.846 0.500
Tc 0.846 0.346 0.500
Tc 0.346 0.154 0.500
Li 0.000 0.000 0.000
Li 0.500 0.500 0.000